# 1
Below is a geometry-optimized Te2IrAu structure, with properties calculated at the PBE-GGA level.

a = 4.070 Å, b = 5.033 Å, c = 5.012 Å
α = 66.45°, β = 90.00°, γ = 90.00°
Fractional coordinates of all 4 atoms:
Au 0.000 0.522 0.522
Ir 0.500 0.744 0.744
Te 0.000 0.937 0.937
Te 0.500 0.297 0.296

Summary:
Crystal system: monoclinic
ΔE to the lowest computed polymorph, meV/atom: 261
SG: Pm (6)
DFT total energy, eV/cell: -18.000
Uncorrected formation energy, eV/atom: 0.1054

***

# 2
Below is a geometry-optimized SrCaNb2Zn structure, with properties calculated at the PBE-GGA level.

a = 4.997 Å, b = 5.548 Å, c = 4.997 Å
α = 90.00°, β = 90.00°, γ = 90.00°
Fractional coordinates of all 5 atoms:
Sr 0.500 0.500 0.500
Nb 0.000 0.000 0.500
Nb 0.500 0.000 0.000
Ca 0.000 0.500 0.000
Zn 0.000 0.000 0.000

Summary:
Crystal system: tetragonal
SG: P4/mmm (123)
DFT total energy, eV/cell: -20.609
E_form, meV per atom: 898

***

# 3
Below is a geometry-optimized Pr2Tm7Sc2 structure, with properties calculated at the PBE-GGA level.

a = 3.522 Å, b = 10.427 Å, c = 10.427 Å
α = 66.76°, β = 80.28°, γ = 80.28°
Fractional coordinates of all 11 atoms:
Pr 0.708 0.892 0.692
Pr 0.292 0.308 0.108
Tm 0.834 0.012 0.321
Tm 0.836 0.514 0.813
Tm 0.500 0.008 0.992
Tm 0.609 0.478 0.303
Tm 0.391 0.697 0.522
Tm 0.166 0.679 0.988
Tm 0.164 0.187 0.486
Sc 0.000 0.762 0.238
Sc 0.500 0.318 0.682

Summary:
Crystal system: orthorhombic
ΔE to the lowest computed polymorph, meV/atom: 136
SG: Imm2 (44)
DFT total energy, eV/cell: -51.538
E_form, meV per atom: 180

***

# 4
Below is a geometry-optimized Ho2Al2ZnNi5 structure, with properties calculated at the PBE-GGA level.

a = 3.130 Å, b = 9.871 Å, c = 9.871 Å
α = 90.00°, β = 90.00°, γ = 90.00°
Fractional coordinates of all 20 atoms:
Ho 0.000 0.674 0.174
Ho 0.000 0.326 0.826
Ho 0.000 0.174 0.326
Ho 0.000 0.826 0.674
Al 0.000 0.126 0.626
Al 0.000 0.874 0.374
Al 0.000 0.626 0.874
Al 0.000 0.374 0.126
Zn 0.000 0.000 0.000
Zn 0.000 0.500 0.500
Ni 0.500 0.198 0.052
Ni 0.500 0.802 0.948
Ni 0.500 0.052 0.802
Ni 0.500 0.698 0.448
Ni 0.500 0.948 0.198
Ni 0.500 0.302 0.552
Ni 0.500 0.552 0.698
Ni 0.500 0.448 0.302
Ni 0.500 0.500 0.000
Ni 0.500 0.000 0.500

Summary:
Crystal system: tetragonal
SG: P4/mbm (127)
DFT total energy, eV/cell: -100.251
E_form, meV per atom: -330